Entry 1:
A relaxed structure of ThHgIr. Source: Alexandria via LeMat-Bulk, functional GGA-PBE.

Cell lengths 6.9039, 4.8719, 9.2449 Å; angles 90.00, 96.43, 90.00 degrees
Space group C2/m (No. 12)
Inequivalent atoms, fractional coordinates:
Th 0.0292 0.0000 0.1994 (multiplicity 4)
Hg 0.1790 0.5000 0.4222 (multiplicity 4)
Ir 0.1827 0.5000 0.9961 (multiplicity 4)

Output
E_tot ... -72.36 eV per cell
Energy relative to the elements ... -502 meV/atom

---

Entry 2:
A relaxed structure of Th2HgIr. Source: Alexandria via LeMat-Bulk, functional GGA-PBE.

Cell lengths 4.1490, 4.1490, 23.4670 Å; angles 90.00, 90.00, 120.00 degrees
Space group R3m (No. 160, hexagonal axes)
Inequivalent atoms, fractional coordinates:
Th 0.0000 0.0000 0.0000 (multiplicity 3)
Th 0.0000 0.0000 0.1992 (multiplicity 3)
Hg 0.0000 0.0000 0.7665 (multiplicity 3)
Ir 0.0000 0.0000 0.5996 (multiplicity 3)

Output
Relative energy among the computed polymorphs ... 16 meV per atom
E_tot ... -79.13 eV per cell
Energy relative to the elements ... -593 meV/atom